An optimized crystal structure of Mg2TiAg. Source: Alexandria via LeMat-Bulk, functional GGA-PBE.

Cell lengths 4.147, 4.293, 4.293 Å; angles 90.00, 90.00, 90.00 degrees
Site moments in Bohr magnetons follow the coordinates.
Atoms (fractional coordinates):
1 Mg 0.000 0.000 0.500  0.01
2 Mg 0.000 0.500 0.000  0.01
3 Ag 0.500 0.000 0.000  0.03
4 Ti 0.500 0.500 0.500  1.03

Values from the calculation:
The offset from the most stable computed form comes out at 82 meV per atom. The calculation puts the total energy at -3.411 eV per atom. The formation energy comes out at 73 meV per atom. As for the space group: P4/mmm, No. 123.

***

An optimized crystal structure of VIn2Si. Source: Alexandria via LeMat-Bulk, functional GGA-PBE.

Cell lengths 8.490, 8.490, 6.523 Å; angles 49.40, 49.40, 90.00 degrees
Site moments in Bohr magnetons follow the coordinates.
Atoms (fractional coordinates):
1 In 0.552 0.125 0.250  -0.02
2 V 0.750 0.250 0.500  2.53
3 In 0.198 0.625 0.250  -0.02
4 In 0.875 0.802 0.750  -0.02
5 Si 0.250 0.750 0.500  -0.06
6 Si 0.500 0.500 0.000  -0.06
7 In 0.375 0.448 0.750  -0.02
8 V 0.000 0.000 0.000  2.53

Values from the calculation:
The calculation puts the total energy at -4.475 eV per atom. The raw formation energy comes out at 0.530 eV per atom. As for the space group: I-42d, No. 122.

***

An optimized crystal structure of BaCa4In2. Source: Alexandria via LeMat-Bulk, functional GGA-PBE.

Cell lengths 5.737, 5.737, 17.475 Å; angles 90.00, 90.00, 119.97 degrees
Atoms (fractional coordinates):
1 Ba 0.500 0.500 0.250
2 Ba 0.500 0.500 0.750
3 Ca 0.500 0.500 0.500
4 Ca 0.834 0.166 0.750
5 In 0.834 0.166 0.926
6 In 0.166 0.834 0.426
7 Ca 0.167 0.833 0.883
8 Ca 0.833 0.167 0.383
9 In 0.166 0.834 0.074
10 Ca 0.500 0.500 0.000
11 Ca 0.167 0.833 0.617
12 Ca 0.833 0.167 0.117
13 In 0.834 0.166 0.574
14 Ca 0.166 0.834 0.250

Values from the calculation:
The calculation puts the total energy at -2.390 eV per atom. The formation energy comes out at -189 meV per atom. As for the space group: Cmcm, No. 63.

***

An optimized crystal structure of Sr2AsPb. Source: Alexandria via LeMat-Bulk, functional GGA-PBE.

Cell lengths 5.642, 5.642, 5.642 Å; angles 60.00, 60.00, 60.00 degrees
Atoms (fractional coordinates):
1 Pb 0.500 0.500 0.500
2 As 0.000 0.000 0.000
3 Sr 0.750 0.750 0.750
4 Sr 0.250 0.250 0.250

Values from the calculation:
The offset from the most stable computed form comes out at 137 meV per atom. The calculation puts the total energy at -3.514 eV per atom. The formation energy comes out at -583 meV per atom. As for the space group: Fm-3m, No. 225.

***

An optimized crystal structure of Pm3In2Ag3. Source: Alexandria via LeMat-Bulk, functional GGA-PBE.

Cell lengths 3.857, 5.260, 10.637 Å; angles 104.32, 100.45, 90.00 degrees
Atoms (fractional coordinates):
1 In 0.735 0.235 0.470
2 Ag 0.000 0.500 0.000
3 Pm 0.630 0.630 0.260
4 Pm 0.370 0.370 0.740
5 Ag 0.122 0.122 0.244
6 In 0.265 0.765 0.530
7 Ag 0.878 0.878 0.756
8 Pm 0.500 0.000 0.000

Values from the calculation:
The calculation puts the total energy at -3.792 eV per atom. The formation energy comes out at -256 meV per atom. As for the space group: Immm, No. 71.

***

An optimized crystal structure of Na2PtCl4. Source: Alexandria via LeMat-Bulk, functional GGA-PBE.

Cell lengths 6.816, 6.816, 6.125 Å; angles 123.81, 123.81, 90.00 degrees
Atoms (fractional coordinates):
1 Na 0.750 0.250 0.500
2 Na 0.250 0.750 0.500
3 Pt 0.500 0.500 0.000
4 Cl 0.740 0.740 0.999
5 Cl 0.260 0.740 0.001
6 Cl 0.740 0.260 0.001
7 Cl 0.260 0.260 0.999

Values from the calculation:
The calculation puts the total energy at -3.474 eV per atom. The raw formation energy comes out at -1.179 eV per atom. As for the space group: I4/mmm, No. 139.

***

An optimized crystal structure of Sc5Ag. Source: Alexandria via LeMat-Bulk, functional GGA-PBE.

Cell lengths 13.083, 3.261, 3.261 Å; angles 90.00, 90.00, 90.00 degrees
Site moments in Bohr magnetons follow the coordinates.
Atoms (fractional coordinates):
1 Sc 0.333 0.000 0.000  -0.06
2 Sc 0.157 0.500 0.500  0.11
3 Sc 0.688 0.000 0.000  0.14
4 Ag 0.833 0.500 0.500  0.01
5 Sc 0.979 0.000 0.000  0.14
6 Sc 0.510 0.500 0.500  0.11

Values from the calculation:
The offset from the most stable computed form comes out at 0 meV per atom. The calculation puts the total energy at -5.797 eV per atom. The formation energy comes out at -46 meV per atom. As for the space group: P4/mmm, No. 123.

***

An optimized crystal structure of AgPd2W. Source: Alexandria via LeMat-Bulk, functional GGA-PBE.

Cell lengths 2.832, 2.832, 9.397 Å; angles 81.33, 81.33, 60.00 degrees
Atoms (fractional coordinates):
1 W 0.500 0.500 0.500
2 Ag 0.000 0.000 0.000
3 Pd 0.754 0.754 0.739
4 Pd 0.246 0.246 0.261

Values from the calculation:
The offset from the most stable computed form comes out at 55 meV per atom. The calculation puts the total energy at -6.528 eV per atom. The formation energy comes out at 20 meV per atom. As for the space group: R-3m, No. 166.

***

An optimized crystal structure of BaPIr3. Source: Alexandria via LeMat-Bulk, functional GGA-PBE.

Cell lengths 5.097, 5.097, 5.097 Å; angles 90.00, 90.00, 90.00 degrees
Atoms (fractional coordinates):
1 Ba 0.000 0.000 0.000
2 Ir 0.000 0.000 0.500
3 Ir 0.000 0.500 0.000
4 P 0.500 0.500 0.500
5 Ir 0.500 0.000 0.000

Values from the calculation:
The offset from the most stable computed form comes out at 2989 meV per atom. The calculation puts the total energy at -3.674 eV per atom. The formation energy comes out at 3109 meV per atom. As for the space group: Pm-3m, No. 221.

***

An optimized crystal structure of Sm3ZrPa2N6. Source: Alexandria via LeMat-Bulk, functional GGA-PBE.

Cell lengths 6.049, 6.049, 6.082 Å; angles 99.46, 99.46, 120.03 degrees
Atoms (fractional coordinates):
1 Pa 0.667 0.333 0.000
2 N 0.259 0.259 0.777
3 Zr 0.000 0.000 0.000
4 Sm 0.836 0.164 0.500
5 N 0.927 0.593 0.782
6 N 0.741 0.741 0.223
7 Pa 0.333 0.667 0.000
8 N 0.407 0.073 0.218
9 N 0.073 0.407 0.218
10 N 0.593 0.927 0.782
11 Sm 0.500 0.500 0.500
12 Sm 0.164 0.836 0.500

Values from the calculation:
The calculation puts the total energy at -9.261 eV per atom. The raw formation energy comes out at -1.623 eV per atom. As for the space group: C2/m, No. 12.

***

An optimized crystal structure of GaPBr. Source: Alexandria via LeMat-Bulk, functional GGA-PBE.

Cell lengths 3.955, 3.954, 12.135 Å; angles 96.97, 92.18, 119.99 degrees
Atoms (fractional coordinates):
1 P 0.865 0.870 0.931
2 Br 0.712 0.459 0.377
3 P 0.940 0.975 0.118
4 Ga 0.504 0.164 0.863
5 Br 0.426 0.051 0.672
6 Ga 0.634 0.347 0.185

Values from the calculation:
The offset from the most stable computed form comes out at 12 meV per atom. The calculation puts the total energy at -3.857 eV per atom. The raw formation energy comes out at -0.487 eV per atom. As for the space group: P1, No. 1.

***

An optimized crystal structure of Li12Tl3Cu. Source: Alexandria via LeMat-Bulk, functional GGA-PBE.

Cell lengths 4.133, 4.133, 17.127 Å; angles 90.00, 90.00, 90.00 degrees
Atoms (fractional coordinates):
1 Tl 0.000 0.000 0.239
2 Li 0.500 0.500 0.237
3 Li 0.500 0.000 0.108
4 Tl 0.000 0.000 0.500
5 Li 0.000 0.500 0.892
6 Li 0.500 0.500 0.000
7 Li 0.000 0.500 0.632
8 Cu 0.000 0.000 0.000
9 Li 0.500 0.500 0.763
10 Li 0.500 0.000 0.368
11 Tl 0.000 0.000 0.761
12 Li 0.000 0.500 0.368
13 Li 0.000 0.500 0.108
14 Li 0.500 0.500 0.500
15 Li 0.500 0.000 0.632
16 Li 0.500 0.000 0.892

Values from the calculation:
The calculation puts the total energy at -2.270 eV per atom. The formation energy comes out at -135 meV per atom. As for the space group: P4/mmm, No. 123.

***

no.,volume (Å³ per atom),Fermi-level density of states (states/eV/atom),total moment (μB per formula unit)
1,19.10,1.00,1.5
2,22.99,0.85,3.0
3,35.58,1.03,0.0
4,31.75,0.72,0.0
5,25.68,0.82,0.0
6,25.08,0.00,0.0
7,23.19,1.80,0.8
8,16.07,0.90,0.0
9,26.48,1.14,0.1
10,15.16,0.43,0.0
11,27.01,0.00,0.0
12,18.29,0.41,0.0